DFT (GGA-PBE) results for an optimized crystal structure of NiHgMo2.

a = 3.2350 Å, b = 3.2350 Å, c = 6.1077 Å
α = 90.00°, β = 90.00°, γ = 90.00°
Positions (direct):
Hg (0.5000, 0.5000, 0.7292)
Ni (0.0000, 0.0000, 0.4843)
Mo (0.0000, 0.0000, 0.0338)
Mo (0.5000, 0.5000, 0.2526)

VASP energy: -6.639 eV per atom
Symmetry: P4mm, No. 99
Energy of formation: 28.7 kJ per mole of atoms

DFT (GGA-PBE) results for an optimized crystal structure of NiHgMo2.

a = 4.8339 Å, b = 4.8339 Å, c = 4.8339 Å
α = 131.03°, β = 131.03°, γ = 71.76°
Positions (direct):
Hg (0.7500, 0.2500, 0.5000)
Mo (0.2500, 0.7500, 0.5000)
Mo (0.0000, 0.0000, 0.0000)
Ni (0.5000, 0.5000, 0.0000)

VASP energy: -6.507 eV per atom
Symmetry: I-4m2, No. 119
Energy of formation: 41.4 kJ per mole of atoms

The records above yield magnetic moment values of 0.00 0.00 μB per atom, respectively.
The records above yield calculated volume values of 15.98 15.72 Å³/atom, respectively.
The records above yield mass density values of 11.7 11.9 Mg/m³, respectively.